1.
## Ba4HPt (PBE)

Data for Ba4HPt after structural relaxation.

```
data_Ba4HPt
_chemical_formula_sum 'Ba16 H4 Pt4'
_cell_length_a 8.943
_cell_length_b 18.156
_cell_length_c 7.688
_cell_angle_alpha 90.00
_cell_angle_beta 124.80
_cell_angle_gamma 90.00
_symmetry_space_group_name_H-M 'C 1 2/c 1'
_symmetry_Int_Tables_number 15
loop_
_symmetry_equiv_pos_as_xyz
'x,y,z'
'-x,-y,-z'
'-x,y,-z+1/2'
'x,-y,z+1/2'
'x+1/2,y+1/2,z'
'-x+1/2,-y+1/2,-z'
'-x+1/2,y+1/2,-z+1/2'
'x+1/2,-y+1/2,z+1/2'
loop_
_atom_site_label
_atom_site_fract_x
_atom_site_fract_y
_atom_site_fract_z
Ba1 0.242 0.071 0.247
Ba2 0.246 0.304 0.249
H1 0.000 0.181 0.250
Pt1 0.000 0.316 0.750
```

Calculated values
The calculation puts the total energy at -3.2572 eV/atom.


2.
## Ba4HPt (PBE)

Data for Ba4HPt after structural relaxation.

```
data_Ba4HPt
_chemical_formula_sum 'Ba16 H4 Pt4'
_cell_length_a 10.559
_cell_length_b 10.892
_cell_length_c 9.356
_cell_angle_alpha 90.00
_cell_angle_beta 90.00
_cell_angle_gamma 90.00
_symmetry_space_group_name_H-M 'C m c m'
_symmetry_Int_Tables_number 63
_symmetry_space_group_name_Hall '-C 2c 2'
loop_
_atom_site_label
_atom_site_fract_x
_atom_site_fract_y
_atom_site_fract_z
Ba1 0.000 0.198 0.015
Ba2 0.203 0.488 0.250
H1 0.000 0.347 0.250
Pt1 0.000 0.011 0.750
```

Calculated values
The calculation puts the total energy at -3.2823 eV/atom.


3.
## Rb2BaH8Pt (PBE)

Data for Rb2BaH8Pt after structural relaxation.

```
data_Rb2BaH8Pt
_chemical_formula_sum 'Rb2 Ba1 H8 Pt1'
_cell_length_a 5.5891
_cell_length_b 5.5891
_cell_length_c 7.2025
_cell_angle_alpha 90.00
_cell_angle_beta 90.00
_cell_angle_gamma 120.00
_symmetry_space_group_name_H-M 'P -3 m 1'
_symmetry_Int_Tables_number 164
_symmetry_space_group_name_Hall '-P 3 2"'
loop_
_atom_site_label
_atom_site_fract_x
_atom_site_fract_y
_atom_site_fract_z
Rb1 0.3333 0.6667 0.3184
Ba1 0.0000 0.0000 0.0000
H1 0.1384 0.2768 0.6350
H2 0.3333 0.6667 0.9380
Pt1 0.0000 0.0000 0.5000
```

Calculated values
The calculation puts the total energy at -3.3670 eV/atom.


4.
## Ba2HPtRh (PBE)

Data for Ba2HPtRh after structural relaxation.

```
data_Ba2HPtRh
_chemical_formula_sum 'Ba2 H1 Pt1 Rh1'
_cell_length_a 5.678
_cell_length_b 5.678
_cell_length_c 3.598
_cell_angle_alpha 90.00
_cell_angle_beta 90.00
_cell_angle_gamma 90.00
_symmetry_space_group_name_H-M 'P 4/m m m'
_symmetry_Int_Tables_number 123
_symmetry_space_group_name_Hall '-P 4 2'
loop_
_atom_site_label
_atom_site_fract_x
_atom_site_fract_y
_atom_site_fract_z
Ba1 0.000 0.500 0.000
H1 0.000 0.000 0.000
Pt1 0.500 0.500 0.500
Rh1 0.000 0.000 0.500
```

Calculated values
The calculation puts the total energy at -4.5232 eV/atom.


5.
## Ba2HPtRh (PBE)

Data for Ba2HPtRh after structural relaxation.

```
data_Ba2HPtRh
_chemical_formula_sum 'Ba2 H1 Pt1 Rh1'
_cell_length_a 5.634
_cell_length_b 5.634
_cell_length_c 3.677
_cell_angle_alpha 90.00
_cell_angle_beta 90.00
_cell_angle_gamma 90.00
_symmetry_space_group_name_H-M 'P 4/m m m'
_symmetry_Int_Tables_number 123
_symmetry_space_group_name_Hall '-P 4 2'
loop_
_atom_site_label
_atom_site_fract_x
_atom_site_fract_y
_atom_site_fract_z
Ba1 0.000 0.500 0.000
H1 0.000 0.000 0.000
Pt1 0.000 0.000 0.500
Rh1 0.500 0.500 0.500
```

Calculated values
The calculation puts the total energy at -4.4200 eV/atom.


6.
## Ba2H4PtS2 (PBE)

Data for Ba2H4PtS2 after structural relaxation.

```
data_Ba2H4PtS2
_chemical_formula_sum 'Ba4 H8 Pt2 S4'
_cell_length_a 6.201
_cell_length_b 6.201
_cell_length_c 8.815
_cell_angle_alpha 90.00
_cell_angle_beta 90.00
_cell_angle_gamma 90.00
_symmetry_space_group_name_H-M 'I 4/m m m'
_symmetry_Int_Tables_number 139
_symmetry_space_group_name_Hall '-I 4 2'
loop_
_atom_site_label
_atom_site_fract_x
_atom_site_fract_y
_atom_site_fract_z
Ba1 0.000 0.500 0.250
H1 0.190 0.190 0.000
Pt1 0.000 0.000 0.000
S1 0.000 0.000 0.278
```

Calculated values
The calculation puts the total energy at -4.3963 eV/atom.


7.
## Ba2HPtS (PBE)

Data for Ba2HPtS after structural relaxation.

```
data_Ba2HPtS
_chemical_formula_sum 'Ba2 H1 Pt1 S1'
_cell_length_a 5.553
_cell_length_b 5.553
_cell_length_c 3.862
_cell_angle_alpha 90.00
_cell_angle_beta 90.00
_cell_angle_gamma 90.00
_symmetry_space_group_name_H-M 'P 4/m m m'
_symmetry_Int_Tables_number 123
_symmetry_space_group_name_Hall '-P 4 2'
loop_
_atom_site_label
_atom_site_fract_x
_atom_site_fract_y
_atom_site_fract_z
Ba1 0.000 0.500 0.000
H1 0.000 0.000 0.000
Pt1 0.000 0.000 0.500
S1 0.500 0.500 0.500
```

Calculated values
The calculation puts the total energy at -4.5334 eV/atom.


8.
## Ba2SbHPt6 (PBE)

Data for Ba2SbHPt6 after structural relaxation.

```
data_Ba2SbHPt6
_chemical_formula_sum 'Ba2 Sb1 H1 Pt6'
_cell_length_a 5.991
_cell_length_b 6.022
_cell_length_c 7.248
_cell_angle_alpha 65.48
_cell_angle_beta 65.63
_cell_angle_gamma 60.25
_symmetry_space_group_name_H-M 'P -1'
_symmetry_Int_Tables_number 2
loop_
_symmetry_equiv_pos_as_xyz
'x,y,z'
'-x,-y,-z'
loop_
_atom_site_label
_atom_site_fract_x
_atom_site_fract_y
_atom_site_fract_z
Ba1 0.218 0.216 0.349
Sb1 0.500 0.500 0.500
H1 0.000 0.000 0.000
Pt1 0.226 0.228 0.835
Pt2 0.229 0.705 0.836
Pt3 0.291 0.772 0.165
```

Calculated values
The calculation puts the total energy at -5.2169 eV/atom.


9.
## Ba2SbHPt (PBE)

Data for Ba2SbHPt after structural relaxation.

```
data_Ba2SbHPt
_chemical_formula_sum 'Ba2 Sb1 H1 Pt1'
_cell_length_a 6.034
_cell_length_b 6.034
_cell_length_c 3.749
_cell_angle_alpha 90.00
_cell_angle_beta 90.00
_cell_angle_gamma 90.00
_symmetry_space_group_name_H-M 'P 4/m m m'
_symmetry_Int_Tables_number 123
_symmetry_space_group_name_Hall '-P 4 2'
loop_
_atom_site_label
_atom_site_fract_x
_atom_site_fract_y
_atom_site_fract_z
Ba1 0.000 0.500 0.000
Sb1 0.000 0.000 0.500
H1 0.500 0.500 0.000
Pt1 0.500 0.500 0.500
```

Calculated values
The calculation puts the total energy at -4.1744 eV/atom.


10.
## Ba2H2PtSe2 (PBE)

Data for Ba2H2PtSe2 after structural relaxation.

```
data_Ba2H2PtSe2
_chemical_formula_sum 'Ba4 H4 Pt2 Se4'
_cell_length_a 4.418
_cell_length_b 4.418
_cell_length_c 15.866
_cell_angle_alpha 90.00
_cell_angle_beta 90.00
_cell_angle_gamma 90.00
_symmetry_space_group_name_H-M 'I 4/m m m'
_symmetry_Int_Tables_number 139
_symmetry_space_group_name_Hall '-I 4 2'
loop_
_atom_site_label
_atom_site_fract_x
_atom_site_fract_y
_atom_site_fract_z
Ba1 0.000 0.000 0.127
H1 0.000 0.500 0.000
Pt1 0.000 0.000 0.500
Se1 0.000 0.000 0.340
```

Calculated values
The calculation puts the total energy at -4.3645 eV/atom.


11.
## BaSmH6Pt2 (PBE)

Data for BaSmH6Pt2 after structural relaxation.

```
data_BaSmH6Pt2
_chemical_formula_sum 'Ba4 Sm4 H24 Pt8'
_cell_length_a 9.174
_cell_length_b 8.867
_cell_length_c 7.480
_cell_angle_alpha 90.00
_cell_angle_beta 114.08
_cell_angle_gamma 90.00
_symmetry_space_group_name_H-M 'C 1 2/c 1'
_symmetry_Int_Tables_number 15
loop_
_symmetry_equiv_pos_as_xyz
'x,y,z'
'-x,-y,-z'
'-x,y,-z+1/2'
'x,-y,z+1/2'
'x+1/2,y+1/2,z'
'-x+1/2,-y+1/2,-z'
'-x+1/2,y+1/2,-z+1/2'
'x+1/2,-y+1/2,z+1/2'
loop_
_atom_site_label
_atom_site_fract_x
_atom_site_fract_y
_atom_site_fract_z
Ba1 0.000 0.097 0.250
Sm1 0.000 0.432 0.750
H1 0.024 0.349 0.053
H2 0.083 0.192 0.718
H3 0.223 0.387 0.368
Pt1 0.225 0.323 0.158
```

Calculated values
The calculation puts the total energy at -4.4062 eV/atom.


12.
## Ba2Sn2H4Pt (PBE)

Data for Ba2Sn2H4Pt after structural relaxation.

```
data_Ba2Sn2H4Pt
_chemical_formula_sum 'Ba4 Sn4 H8 Pt2'
_cell_length_a 6.810
_cell_length_b 6.810
_cell_length_c 8.322
_cell_angle_alpha 90.00
_cell_angle_beta 90.00
_cell_angle_gamma 90.00
_symmetry_space_group_name_H-M 'I 4/m m m'
_symmetry_Int_Tables_number 139
_symmetry_space_group_name_Hall '-I 4 2'
loop_
_atom_site_label
_atom_site_fract_x
_atom_site_fract_y
_atom_site_fract_z
Ba1 0.000 0.500 0.250
Sn1 0.000 0.000 0.163
H1 0.174 0.174 0.500
Pt1 0.000 0.000 0.500
```

Calculated values
The calculation puts the total energy at -3.7753 eV/atom.


13.
## BaSnH6Pt2 (PBE)

Data for BaSnH6Pt2 after structural relaxation.

```
data_BaSnH6Pt2
_chemical_formula_sum 'Ba4 Sn4 H24 Pt8'
_cell_length_a 9.476
_cell_length_b 11.595
_cell_length_c 5.978
_cell_angle_alpha 90.00
_cell_angle_beta 114.52
_cell_angle_gamma 90.00
_symmetry_space_group_name_H-M 'C 1 2/c 1'
_symmetry_Int_Tables_number 15
loop_
_symmetry_equiv_pos_as_xyz
'x,y,z'
'-x,-y,-z'
'-x,y,-z+1/2'
'x,-y,z+1/2'
'x+1/2,y+1/2,z'
'-x+1/2,-y+1/2,-z'
'-x+1/2,y+1/2,-z+1/2'
'x+1/2,-y+1/2,z+1/2'
loop_
_atom_site_label
_atom_site_fract_x
_atom_site_fract_y
_atom_site_fract_z
Ba1 0.000 0.173 0.250
Sn1 0.000 0.483 0.750
H1 0.120 0.319 0.986
H2 0.126 0.173 0.777
H3 0.145 0.006 0.582
Pt1 0.231 0.415 0.191
```

Calculated values
The calculation puts the total energy at -4.0817 eV/atom.


14.
## BaSnH8Pt2 (PBE)

Data for BaSnH8Pt2 after structural relaxation.

```
data_BaSnH8Pt2
_chemical_formula_sum 'Ba3 Sn3 H24 Pt6'
_cell_length_a 4.9952
_cell_length_b 4.9952
_cell_length_c 23.3224
_cell_angle_alpha 90.00
_cell_angle_beta 90.00
_cell_angle_gamma 120.00
_symmetry_space_group_name_H-M 'R -3'
_symmetry_Int_Tables_number 148
_symmetry_space_group_name_Hall '-R 3'
loop_
_atom_site_label
_atom_site_fract_x
_atom_site_fract_y
_atom_site_fract_z
Ba1 0.0000 0.0000 0.0000
Sn1 0.0000 0.0000 0.5000
H1 0.0000 0.0000 0.3295
H2 0.0483 0.4458 0.8783
Pt1 0.0000 0.0000 0.2577
```

Calculated values
The calculation puts the total energy at -3.7295 eV/atom.


15.
## BaSrHPt2 (PBE)

Data for BaSrHPt2 after structural relaxation.

```
data_BaSrHPt2
_chemical_formula_sum 'Ba1 Sr1 H1 Pt2'
_cell_length_a 5.708
_cell_length_b 5.708
_cell_length_c 4.289
_cell_angle_alpha 90.00
_cell_angle_beta 90.00
_cell_angle_gamma 90.00
_symmetry_space_group_name_H-M 'P 4/m m m'
_symmetry_Int_Tables_number 123
_symmetry_space_group_name_Hall '-P 4 2'
loop_
_atom_site_label
_atom_site_fract_x
_atom_site_fract_y
_atom_site_fract_z
Ba1 0.000 0.000 0.000
Sr1 0.500 0.500 0.500
H1 0.500 0.500 0.000
Pt1 0.000 0.500 0.500
```

Calculated values
The calculation puts the total energy at -3.7822 eV/atom.


16.
## BaSrH8Pt2 (PBE)

Data for BaSrH8Pt2 after structural relaxation.

```
data_BaSrH8Pt2
_chemical_formula_sum 'Ba3 Sr3 H24 Pt6'
_cell_length_a 4.4964
_cell_length_b 4.4964
_cell_length_c 28.0764
_cell_angle_alpha 90.00
_cell_angle_beta 90.00
_cell_angle_gamma 120.00
_symmetry_space_group_name_H-M 'R -3 m'
_symmetry_Int_Tables_number 166
_symmetry_space_group_name_Hall '-R 3 2"'
loop_
_atom_site_label
_atom_site_fract_x
_atom_site_fract_y
_atom_site_fract_z
Ba1 0.0000 0.0000 0.0000
Sr1 0.0000 0.0000 0.5000
H1 0.0000 0.0000 0.3078
H2 0.0220 0.5110 0.5480
Pt1 0.0000 0.0000 0.2464
```

Calculated values
The calculation puts the total energy at -3.7694 eV/atom.


17.
## BaTbH6Pt2 (PBE)

Data for BaTbH6Pt2 after structural relaxation.

```
data_BaTbH6Pt2
_chemical_formula_sum 'Ba4 Tb4 H24 Pt8'
_cell_length_a 9.103
_cell_length_b 8.811
_cell_length_c 7.336
_cell_angle_alpha 90.00
_cell_angle_beta 113.57
_cell_angle_gamma 90.00
_symmetry_space_group_name_H-M 'C 1 2/c 1'
_symmetry_Int_Tables_number 15
loop_
_symmetry_equiv_pos_as_xyz
'x,y,z'
'-x,-y,-z'
'-x,y,-z+1/2'
'x,-y,z+1/2'
'x+1/2,y+1/2,z'
'-x+1/2,-y+1/2,-z'
'-x+1/2,y+1/2,-z+1/2'
'x+1/2,-y+1/2,z+1/2'
loop_
_atom_site_label
_atom_site_fract_x
_atom_site_fract_y
_atom_site_fract_z
Ba1 0.000 0.099 0.250
Tb1 0.000 0.429 0.750
H1 0.025 0.357 0.054
H2 0.082 0.194 0.708
H3 0.223 0.399 0.370
Pt1 0.226 0.327 0.161
```

Calculated values
The calculation puts the total energy at -4.4020 eV/atom.


18.
## BaTlH8Pt2 (PBE)

Data for BaTlH8Pt2 after structural relaxation.

```
data_BaTlH8Pt2
_chemical_formula_sum 'Ba1 Tl1 H8 Pt2'
_cell_length_a 5.0790
_cell_length_b 5.0790
_cell_length_c 8.4822
_cell_angle_alpha 90.00
_cell_angle_beta 90.00
_cell_angle_gamma 120.00
_symmetry_space_group_name_H-M 'P -3'
_symmetry_Int_Tables_number 147
loop_
_symmetry_equiv_pos_as_xyz
'x,y,z'
'-x,-y,-z'
'-y,x-y,z'
'y,-x+y,-z'
'-x+y,-x,z'
'x-y,x,-z'
loop_
_atom_site_label
_atom_site_fract_x
_atom_site_fract_y
_atom_site_fract_z
Ba1 0.0000 0.0000 0.0000
Tl1 0.0000 0.0000 0.5000
H1 0.2002 0.4044 0.6285
H2 0.3333 0.6667 0.9666
Pt1 0.3333 0.6667 0.7661
```

Calculated values
The calculation puts the total energy at -3.5608 eV/atom.


19.
## Ba2ZnHPt (PBE)

Data for Ba2ZnHPt after structural relaxation.

```
data_Ba2ZnHPt
_chemical_formula_sum 'Ba2 Zn1 H1 Pt1'
_cell_length_a 5.414
_cell_length_b 5.414
_cell_length_c 4.189
_cell_angle_alpha 90.00
_cell_angle_beta 90.00
_cell_angle_gamma 90.00
_symmetry_space_group_name_H-M 'P 4/m m m'
_symmetry_Int_Tables_number 123
_symmetry_space_group_name_Hall '-P 4 2'
loop_
_atom_site_label
_atom_site_fract_x
_atom_site_fract_y
_atom_site_fract_z
Ba1 0.000 0.500 0.000
Zn1 0.000 0.000 0.500
H1 0.000 0.000 0.000
Pt1 0.500 0.500 0.500
```

Calculated values
The calculation puts the total energy at -3.2590 eV/atom.


20.
## Ba2ZnHPt (PBE)

Data for Ba2ZnHPt after structural relaxation.

```
data_Ba2ZnHPt
_chemical_formula_sum 'Ba2 Zn1 H1 Pt1'
_cell_length_a 5.762
_cell_length_b 5.762
_cell_length_c 3.813
_cell_angle_alpha 90.00
_cell_angle_beta 90.00
_cell_angle_gamma 90.00
_symmetry_space_group_name_H-M 'P 4/m m m'
_symmetry_Int_Tables_number 123
_symmetry_space_group_name_Hall '-P 4 2'
loop_
_atom_site_label
_atom_site_fract_x
_atom_site_fract_y
_atom_site_fract_z
Ba1 0.000 0.500 0.000
Zn1 0.000 0.000 0.500
H1 0.500 0.500 0.000
Pt1 0.500 0.500 0.500
```

Calculated values
The calculation puts the total energy at -3.3115 eV/atom.